# SrMnAg

An optimized crystal structure of SrMnAg (GGA-PBE, the Alexandria database).

Calculated values
* DOS at the Fermi energy: 13.49 states/eV/cell
* symmetry: F-43m
* total moment: 1.462 μB/atom
* electronic total energy: -49.72 eV/cell
* formation enthalpy at 0 K: 41 kJ/mol of atoms

Unit cell a=7.0824 b=7.0824 c=7.0824 alpha=90.00 beta=90.00 gamma=90.00
Atoms (fractional coordinates):
Sr 0.0000 0.0000 0.0000
Sr 0.0000 0.5000 0.5000
Sr 0.5000 0.0000 0.5000
Sr 0.5000 0.5000 0.0000
Mn 0.0000 0.0000 0.5000
Mn 0.0000 0.5000 0.0000
Mn 0.5000 0.0000 0.0000
Mn 0.5000 0.5000 0.5000
Ag 0.2500 0.2500 0.2500
Ag 0.2500 0.7500 0.7500
Ag 0.7500 0.2500 0.7500
Ag 0.7500 0.7500 0.2500

---

# Li3BiP2O8

An optimized crystal structure of Li3BiP2O8 (GGA-PBE, the Alexandria database).

Calculated values
* DOS at the Fermi energy: 0.00 states/eV/cell
* symmetry: P-3
* raw formation energy: -2161.8 meV/atom
* total moment: 0.000 μB/atom
* electronic total energy: -271.12 eV/cell

Unit cell a=8.5396 b=8.5396 c=7.6811 alpha=90.00 beta=90.00 gamma=120.00
Atoms (fractional coordinates):
Li 0.0000 0.0000 0.0000
Li 0.0182 0.6755 0.8654
Li 0.3245 0.3427 0.8654
Li 0.3333 0.6667 0.9999
Li 0.3427 0.0182 0.1346
Li 0.6573 0.9818 0.8654
Li 0.6667 0.3333 0.0001
Li 0.6755 0.6573 0.1346
Li 0.9818 0.3245 0.1346
Bi 0.0000 0.0000 0.5000
Bi 0.3333 0.6667 0.5514
Bi 0.6667 0.3333 0.4486
P 0.0306 0.6932 0.2460
P 0.3068 0.3374 0.2460
P 0.3374 0.0306 0.7540
P 0.6626 0.9694 0.2460
P 0.6932 0.6626 0.7540
P 0.9694 0.3068 0.7540
O 0.0839 0.2120 0.7651
O 0.0988 0.5177 0.7608
O 0.1281 0.9161 0.7651
O 0.1371 0.7544 0.4200
O 0.1634 0.7481 0.0902
O 0.2120 0.1281 0.2349
O 0.2456 0.3827 0.4200
O 0.2519 0.4153 0.0902
O 0.3827 0.1371 0.5800
O 0.4153 0.1634 0.9098
O 0.4188 0.9012 0.7608
O 0.4823 0.5812 0.7608
O 0.5177 0.4188 0.2392
O 0.5812 0.0988 0.2392
O 0.5847 0.8366 0.0902
O 0.6173 0.8629 0.4200
O 0.7481 0.5847 0.9098
O 0.7544 0.6173 0.5800
O 0.7880 0.8719 0.7651
O 0.8366 0.2519 0.9098
O 0.8629 0.2456 0.5800
O 0.8719 0.0839 0.2349
O 0.9012 0.4823 0.2392
O 0.9161 0.7880 0.2349